Compound: Tl2CdBi
Source: Alexandria
Functional: PBE
Structure: optimized geometry

Energy relative to the elements   94 meV/atom

Unit cell a=8.8415 b=8.8415 c=6.4002 alpha=90.00 beta=90.00 gamma=90.00
Space group I-42d (No. 122)
Symmetry-distinct sites (fractional):
Tl  0.2462  0.7500  0.1250 x8
Cd  0.0000  0.0000  0.0000 x4
Bi  0.0000  0.0000  0.5000 x4



Compound: TbSm6Dy2
Source: Alexandria
Functional: PBE
Structure: optimized geometry

Energy relative to the elements   15 meV/atom

Unit cell a=3.6048 b=8.8219 c=9.5221 alpha=90.11 beta=100.87 gamma=90.11
Space group P-1 (No. 2)
Symmetry-distinct sites (fractional):
Tb  0.0000  0.0000  0.0000 x1
Sm  0.1097  0.6656  0.2198 x2
Sm  0.2213  0.3336  0.4427 x2
Sm  0.3338  0.0005  0.6686 x2
Dy  0.4446  0.6677  0.8900 x2



Compound: Ba2Cu3HgSb4
Source: Alexandria
Functional: PBE
Structure: optimized geometry

Uncorrected formation energy   -423 kJ/mol of formula units

Unit cell a=4.8479 b=4.8479 c=10.9941 alpha=90.00 beta=90.00 gamma=90.00
Space group P-4m2 (No. 115)
Symmetry-distinct sites (fractional):
Ba  0.0000  0.5000  0.2503 x2
Cu  0.0000  0.0000  0.0000 x1
Cu  0.0000  0.5000  0.6171 x2
Hg  0.5000  0.5000  0.0000 x1
Sb  0.0000  0.0000  0.5000 x1
Sb  0.0000  0.5000  0.8573 x2
Sb  0.5000  0.5000  0.5000 x1



Question: Number 2 is which compound?
Answer: TbSm6Dy2